# K2TiCrP3O12 (PBE with a Hubbard U, relaxed)
# DFT total energy	-139.1	eV per formula unit
# density of states at the Fermi level	0.00	states/eV/f.u.
data_K2TiCrP3O12
_chemical_formula_sum 'K8 Ti4 Cr4 P12 O48'
_space_group_name_H-M_alt 'P 21 3'
_space_group_IT_number 198
_space_group_name_Hall 'P 2ac 2ab 3'
_cell_length_a 9.947
_cell_length_b 9.947
_cell_length_c 9.947
_cell_angle_alpha 90.00
_cell_angle_beta 90.00
_cell_angle_gamma 90.00
loop_
_atom_site_label
_atom_site_fract_x
_atom_site_fract_y
_atom_site_fract_z
K1 0.045 0.455 0.545
K2 0.184 0.184 0.184
Ti1 0.162 0.838 0.338
Cr1 0.106 0.606 0.894
P1 0.024 0.292 0.876
O1 0.016 0.439 0.826
O2 0.016 0.955 0.274
O3 0.051 0.698 0.720
O4 0.103 0.673 0.250